No. 1
Computed, not measured: a geometry-optimized PmGdCuHg structure at the PBE level of DFT.

Properties
The formation energy comes out at -0.307 eV per atom. The total moment comes out at 1.83 μB per atom.

Cell lengths 5.2000, 5.2000, 5.2000 Å; angles 60.00, 60.00, 60.00 degrees
Last column: magnetic moment on the atom in μB.
Sites, in units of the cell vectors:
1 Gd 0.5000 0.5000 0.5000  -7.09
2 Hg 0.7500 0.7500 0.7500  0.00
3 Cu 0.2500 0.2500 0.2500  -0.01
4 Pm 0.0000 0.0000 0.0000  -0.06

=====

No. 2
Computed, not measured: a geometry-optimized GdCuHgPt structure at the PBE level of DFT.

Properties
The formation energy comes out at -0.458 eV per atom. The total moment comes out at 1.77 μB per atom.

Cell lengths 4.8146, 4.8146, 4.8146 Å; angles 60.00, 60.00, 60.00 degrees
Last column: magnetic moment on the atom in μB.
Sites, in units of the cell vectors:
1 Gd 0.0000 0.0000 0.0000  6.98
2 Hg 0.5000 0.5000 0.5000  0.00
3 Pt 0.7500 0.7500 0.7500  -0.02
4 Cu 0.2500 0.2500 0.2500  0.00